Entry 1:
# Sc8TlNi2, relaxed, DFT GGA-PBE
data_Sc8TlNi2
_chemical_formula_sum 'Sc16 Tl2 Ni4'
_cell_length_a 16.5731
_cell_length_b 3.3610
_cell_length_c 8.7182
_cell_angle_alpha 90.00
_cell_angle_beta 99.92
_cell_angle_gamma 90.00
_space_group_name_H-M_alt 'C 1 2/m 1'
_space_group_IT_number 12
_space_group_name_Hall '-C 2y'
loop_
_atom_site_label
_atom_site_type_symbol
_atom_site_fract_x
_atom_site_fract_y
_atom_site_fract_z
Sc1 Sc 0.0265 0.0000 0.1851
Sc2 Sc 0.1419 0.0000 0.6912
Sc3 Sc 0.1571 0.5000 0.0107
Sc4 Sc 0.1779 0.5000 0.3892
Tl1 Tl 0.0000 0.5000 0.5000
Ni1 Ni 0.2394 0.0000 0.2169
# - theoretical density (g/cm3) = 4.731
# - formation energy (eV per formula unit) = -2.5
# - E above lowest polymorph (eV per formula unit) = 0.00
# - DOS(E_F) (states/eV/atom) = 1.257
# - DFT total energy (eV per atom) = -6.100

---

Entry 2:
# RbSbI2Cl, relaxed, DFT GGA-PBE
data_RbSbI2Cl
_chemical_formula_sum 'Rb1 Sb1 I2 Cl1'
_cell_length_a 6.1956
_cell_length_b 6.1956
_cell_length_c 5.5302
_cell_angle_alpha 90.00
_cell_angle_beta 90.00
_cell_angle_gamma 90.00
_space_group_name_H-M_alt 'P 4/m m m'
_space_group_IT_number 123
_space_group_name_Hall '-P 4 2'
loop_
_atom_site_label
_atom_site_type_symbol
_atom_site_fract_x
_atom_site_fract_y
_atom_site_fract_z
Rb1 Rb 0.0000 0.0000 0.0000
Sb1 Sb 0.5000 0.5000 0.5000
I1 I 0.0000 0.5000 0.5000
Cl1 Cl 0.5000 0.5000 0.0000
# - theoretical density (g/cm3) = 3.884
# - formation energy from raw total energies (eV/atom) = -0.8286
# - E above lowest polymorph (eV per formula unit) = 0.00
# - DOS(E_F) (states/eV/atom) = 0.121
# - DFT total energy (eV per atom) = -2.836

---

Entry 3:
# PmErTl, relaxed, DFT GGA-PBE
data_PmErTl
_chemical_formula_sum 'Pm4 Er4 Tl4'
_cell_length_a 7.3995
_cell_length_b 7.3995
_cell_length_c 7.3995
_cell_angle_alpha 90.00
_cell_angle_beta 90.00
_cell_angle_gamma 90.00
_space_group_name_H-M_alt 'F -4 3 m'
_space_group_IT_number 216
_space_group_name_Hall 'F -4 2 3'
loop_
_atom_site_label
_atom_site_type_symbol
_atom_site_fract_x
_atom_site_fract_y
_atom_site_fract_z
Pm1 Pm 0.0000 0.0000 0.0000
Er1 Er 0.0000 0.0000 0.5000
Tl1 Tl 0.2500 0.2500 0.2500
# - theoretical density (g/cm3) = 8.470
# - formation energy (eV per formula unit) = -0.1
# - E above lowest polymorph (eV per formula unit) = 0.68
# - DOS(E_F) (states/eV/atom) = 1.729
# - DFT total energy (eV per atom) = -3.925

---

Entry 4:
# Zr3Cd2, relaxed, DFT GGA-PBE
data_Zr3Cd2
_chemical_formula_sum 'Zr6 Cd4'
_cell_length_a 3.1361
_cell_length_b 3.1361
_cell_length_c 22.5768
_cell_angle_alpha 90.00
_cell_angle_beta 90.00
_cell_angle_gamma 90.00
_space_group_name_H-M_alt 'I 4/m m m'
_space_group_IT_number 139
_space_group_name_Hall '-I 4 2'
loop_
_atom_site_label
_atom_site_type_symbol
_atom_site_fract_x
_atom_site_fract_y
_atom_site_fract_z
Zr1 Zr 0.0000 0.0000 0.0000
Zr2 Zr 0.0000 0.0000 0.2003
Cd1 Cd 0.0000 0.0000 0.4024
# - theoretical density (g/cm3) = 7.456
# - formation energy (eV per formula unit) = -0.6
# - E above lowest polymorph (eV per formula unit) = 0.00
# - DOS(E_F) (states/eV/atom) = 1.183
# - DFT total energy (eV per atom) = -5.607

---

Entry 5:
# La2BeCd, relaxed, DFT GGA-PBE
data_La2BeCd
_chemical_formula_sum 'La8 Be4 Cd4'
_cell_length_a 8.4407
_cell_length_b 8.4407
_cell_length_c 6.2575
_cell_angle_alpha 90.00
_cell_angle_beta 90.00
_cell_angle_gamma 90.00
_space_group_name_H-M_alt 'I -4 2 d'
_space_group_IT_number 122
_space_group_name_Hall 'I -4 2bw'
loop_
_atom_site_label
_atom_site_type_symbol
_atom_site_fract_x
_atom_site_fract_y
_atom_site_fract_z
La1 La 0.1954 0.7500 0.1250
Be1 Be 0.0000 0.0000 0.0000
Cd1 Cd 0.0000 0.0000 0.5000
# - theoretical density (g/cm3) = 5.948
# - formation energy (eV per formula unit) = 1.1
# - E above lowest polymorph (eV per formula unit) = 1.42
# - DOS(E_F) (states/eV/atom) = 0.567
# - DFT total energy (eV per atom) = -3.338

---

Entry 6:
# La2ScTc, relaxed, DFT GGA-PBE
data_La2ScTc
_chemical_formula_sum 'La4 Sc2 Tc2'
_cell_length_a 3.6002
_cell_length_b 5.4159
_cell_length_c 11.1004
_cell_angle_alpha 90.00
_cell_angle_beta 90.00
_cell_angle_gamma 90.00
_space_group_name_H-M_alt 'I m m 2'
_space_group_IT_number 44
_space_group_name_Hall 'I 2 -2'
loop_
_atom_site_label
_atom_site_type_symbol
_atom_site_fract_x
_atom_site_fract_y
_atom_site_fract_z
La1 La 0.0000 0.0000 0.0000
La2 La 0.0000 0.5000 0.1985
Sc1 Sc 0.0000 0.5000 0.8087
Tc1 Tc 0.0000 0.0000 0.4874
# - theoretical density (g/cm3) = 6.456
# - formation energy (eV per formula unit) = 0.3
# - E above lowest polymorph (eV per formula unit) = 0.18
# - DOS(E_F) (states/eV/atom) = 1.354
# - DFT total energy (eV per atom) = -6.562

---

Entry 7:
# EuTlI3, relaxed, DFT GGA-PBE
data_EuTlI3
_chemical_formula_sum 'Eu1 Tl1 I3'
_cell_length_a 6.3242
_cell_length_b 6.3242
_cell_length_c 6.3242
_cell_angle_alpha 90.00
_cell_angle_beta 90.00
_cell_angle_gamma 90.00
_space_group_name_H-M_alt 'P m -3 m'
_space_group_IT_number 221
_space_group_name_Hall '-P 4 2 3'
loop_
_atom_site_label
_atom_site_type_symbol
_atom_site_fract_x
_atom_site_fract_y
_atom_site_fract_z
Eu1 Eu 0.0000 0.0000 0.0000
Tl1 Tl 0.5000 0.5000 0.5000
I1 I 0.0000 0.0000 0.5000
# - theoretical density (g/cm3) = 4.839
# - formation energy from raw total energies (eV/atom) = -1.1015
# - DOS(E_F) (states/eV/atom) = 3.976
# - DFT total energy (eV per atom) = -4.560

---

Entry 8:
# PrNbNiN3, relaxed, DFT GGA-PBE
data_PrNbNiN3
_chemical_formula_sum 'Pr2 Nb2 Ni2 N6'
_cell_length_a 6.7850
_cell_length_b 3.2594
_cell_length_c 7.3069
_cell_angle_alpha 90.00
_cell_angle_beta 106.31
_cell_angle_gamma 90.00
_space_group_name_H-M_alt 'P 1 21/m 1'
_space_group_IT_number 11
_space_group_name_Hall '-P 2yb'
loop_
_atom_site_label
_atom_site_type_symbol
_atom_site_fract_x
_atom_site_fract_y
_atom_site_fract_z
Pr1 Pr 0.2072 0.2500 0.2312
Nb1 Nb 0.3229 0.7500 0.8435
Ni1 Ni 0.1069 0.2500 0.5901
N1 N 0.1202 0.2500 0.8682
N2 N 0.2224 0.7500 0.5224
N3 N 0.4506 0.7500 0.1471
# - theoretical density (g/cm3) = 7.164
# - formation energy from raw total energies (eV/atom) = -0.7399
# - DOS(E_F) (states/eV/atom) = 0.502
# - DFT total energy (eV per atom) = -8.341

---

Entry 9:
# LiTl2As, relaxed, DFT GGA-PBE
data_LiTl2As
_chemical_formula_sum 'Li1 Tl2 As1'
_cell_length_a 3.2263
_cell_length_b 3.8921
_cell_length_c 7.9937
_cell_angle_alpha 90.00
_cell_angle_beta 90.00
_cell_angle_gamma 90.00
_space_group_name_H-M_alt 'P m m 2'
_space_group_IT_number 25
_space_group_name_Hall 'P 2 -2'
loop_
_atom_site_label
_atom_site_type_symbol
_atom_site_fract_x
_atom_site_fract_y
_atom_site_fract_z
Li1 Li 0.0000 0.0000 0.0000
Tl1 Tl 0.0000 0.0000 0.6197
Tl2 Tl 0.5000 0.5000 0.2695
As1 As 0.5000 0.5000 0.8817
# - theoretical density (g/cm3) = 8.117
# - formation energy (eV per formula unit) = -0.5
# - E above lowest polymorph (eV per formula unit) = 0.39
# - DOS(E_F) (states/eV/atom) = 0.372
# - DFT total energy (eV per atom) = -2.958

---

Entry 10:
# YIrRh, relaxed, DFT GGA-PBE
data_YIrRh
_chemical_formula_sum 'Y2 Ir2 Rh2'
_cell_length_a 2.9790
_cell_length_b 3.9379
_cell_length_c 9.5294
_cell_angle_alpha 90.00
_cell_angle_beta 90.00
_cell_angle_gamma 90.00
_space_group_name_H-M_alt 'I m m 2'
_space_group_IT_number 44
_space_group_name_Hall 'I 2 -2'
loop_
_atom_site_label
_atom_site_type_symbol
_atom_site_fract_x
_atom_site_fract_y
_atom_site_fract_z
Y1 Y 0.0000 0.0000 0.0000
Ir1 Ir 0.0000 0.0000 0.6945
Rh1 Rh 0.0000 0.0000 0.2989
# - theoretical density (g/cm3) = 11.409
# - formation energy (eV per formula unit) = -0.8
# - E above lowest polymorph (eV per formula unit) = 1.46
# - DOS(E_F) (states/eV/atom) = 1.426
# - DFT total energy (eV per atom) = -7.842

---

Entry 11:
# Th4Pt2SeS, relaxed, DFT GGA-PBE
data_Th4Pt2SeS
_chemical_formula_sum 'Th4 Pt2 Se1 S1'
_cell_length_a 7.1552
_cell_length_b 4.1525
_cell_length_c 7.5229
_cell_angle_alpha 90.00
_cell_angle_beta 108.54
_cell_angle_gamma 90.00
_space_group_name_H-M_alt 'P 1 2/m 1'
_space_group_IT_number 10
_space_group_name_Hall '-P 2y'
loop_
_atom_site_label
_atom_site_type_symbol
_atom_site_fract_x
_atom_site_fract_y
_atom_site_fract_z
Th1 Th 0.2420 0.0000 0.2371
Th2 Th 0.2490 0.5000 0.7596
Pt1 Pt 0.0000 0.5000 0.0000
Pt2 Pt 0.5000 0.0000 0.0000
Se1 Se 0.5000 0.5000 0.5000
S1 S 0.0000 0.0000 0.5000
# - theoretical density (g/cm3) = 11.200
# - formation energy from raw total energies (eV/atom) = -1.3887
# - DOS(E_F) (states/eV/atom) = 0.581
# - DFT total energy (eV per atom) = -7.560

---

Entry 12:
# Rb2YInCl6, relaxed, DFT GGA-PBE
data_Rb2YInCl6
_chemical_formula_sum 'Rb8 Y4 In4 Cl24'
_cell_length_a 11.3773
_cell_length_b 11.3773
_cell_length_c 11.3773
_cell_angle_alpha 90.00
_cell_angle_beta 90.00
_cell_angle_gamma 90.00
_space_group_name_H-M_alt 'F m -3 m'
_space_group_IT_number 225
_space_group_name_Hall '-F 4 2 3'
loop_
_atom_site_label
_atom_site_type_symbol
_atom_site_fract_x
_atom_site_fract_y
_atom_site_fract_z
Rb1 Rb 0.2500 0.2500 0.2500
Y1 Y 0.0000 0.0000 0.0000
In1 In 0.0000 0.0000 0.5000
Cl1 Cl 0.0000 0.0000 0.2321
# - theoretical density (g/cm3) = 2.649
# - formation energy from raw total energies (eV/atom) = -1.8580
# - E above lowest polymorph (eV per formula unit) = 0.48
# - DOS(E_F) (states/eV/atom) = 0.000
# - DFT total energy (eV per atom) = -4.080